! Y2CrSnBr | Alexandria | GGA-PBE | relaxed; values from VASP
! - ΔE_f (raw) (eV/atom) = 0.8508
! - crystal system = tetragonal
! - D(E_F) (states/eV per cell) = 7.3
! - E (eV/atom) = -4.79
&SYSTEM
  ibrav = 0, nat = 5, ntyp = 4
/
ATOMIC_SPECIES
Y 88.91 Y.upf
Cr 52.00 Cr.upf
Sn 118.71 Sn.upf
Br 79.90 Br.upf
ATOMIC_POSITIONS crystal
Y 0.0000 0.0000 0.5000
Y 0.5000 0.0000 0.0000
Cr 0.5000 0.5000 0.5000
Sn 0.0000 0.5000 0.0000
Br 0.0000 0.0000 0.0000
CELL_PARAMETERS angstrom
-4.1317 -3.2157 0.3472
1.8177 -1.8148 4.8226
-2.7229 3.7622 2.4421